Below is an optimized crystal structure of BaIn2Au, with properties calculated at the PBE-GGA level.

Properties
symmetry: No. 65
calculated formation energy: -0.439 eV/atom

```
BaIn2Au
1.0
-3.497 0.915 -3.260
0.269 -4.930 -1.673
-3.345 -2.885 2.779
Ba Au In
1 1 2
Cartesian
-4.056 -5.404 -0.800
-2.518 -1.496 -1.353
-0.216 -0.554 0.076
-1.322 -3.353 0.477
```